AgPRh: relaxed, PBE.

Structure (CIF):
```
data_AgPRh
_chemical_formula_sum 'Ag1 P1 Rh1'
_symmetry_space_group_name_H-M 'P 3 m 1'
_symmetry_Int_Tables_number 156
_symmetry_space_group_name_Hall 'P 3 -2"'
_cell_length_a 3.0893
_cell_length_b 3.0893
_cell_length_c 6.1062
_cell_angle_alpha 90.00
_cell_angle_beta 90.00
_cell_angle_gamma 120.00
loop_
_atom_site_label
_atom_site_type_symbol
_atom_site_fract_x
_atom_site_fract_y
_atom_site_fract_z
_atom_site_occupancy
Ag1 Ag 0.0000 0.0000 0.0000 1
P1 P 0.6667 0.3333 0.3889 1
Rh1 Rh 0.3333 0.6667 0.6174 1
```

Properties
Energy above the most stable polymorph in this dataset in eV per formula unit: 0.30
Energy of formation from the pure elements in meV/atom: -81
N(E_F) in states/eV/f.u.: 2.28



AgPRh: relaxed, PBE.

Structure (CIF):
```
data_AgPRh
_chemical_formula_sum 'Ag2 P2 Rh2'
_symmetry_space_group_name_H-M 'I 4 m m'
_symmetry_Int_Tables_number 107
_symmetry_space_group_name_Hall 'I 4 -2'
_cell_length_a 3.075
_cell_length_b 3.075
_cell_length_c 9.927
_cell_angle_alpha 90.00
_cell_angle_beta 90.00
_cell_angle_gamma 90.00
loop_
_atom_site_label
_atom_site_type_symbol
_atom_site_fract_x
_atom_site_fract_y
_atom_site_fract_z
_atom_site_occupancy
Ag1 Ag 0.000 0.000 0.000 1
P1 P 0.000 0.000 0.303 1
Rh1 Rh 0.000 0.000 0.704 1
```

Properties
Energy above the most stable polymorph in this dataset in eV per formula unit: 0.00
Energy of formation from the pure elements in meV/atom: -182
N(E_F) in states/eV/f.u.: 1.18



AgP2Rh: relaxed, PBE.

Structure (CIF):
```
data_AgP2Rh
_chemical_formula_sum 'Ag2 P4 Rh2'
_symmetry_space_group_name_H-M 'C 1 m 1'
_symmetry_Int_Tables_number 8
_symmetry_space_group_name_Hall 'C -2y'
_cell_length_a 7.831
_cell_length_b 3.356
_cell_length_c 5.313
_cell_angle_alpha 90.00
_cell_angle_beta 95.51
_cell_angle_gamma 90.00
loop_
_atom_site_label
_atom_site_type_symbol
_atom_site_fract_x
_atom_site_fract_y
_atom_site_fract_z
_atom_site_occupancy
Ag1 Ag 0.000 0.000 0.000 1
P1 P 0.258 0.000 0.715 1
P2 P 0.410 0.000 0.371 1
Rh1 Rh 0.205 0.500 0.387 1
```

Properties
Energy above the most stable polymorph in this dataset in eV per formula unit: 0.18
Energy of formation from the pure elements in meV/atom: -5
N(E_F) in states/eV/f.u.: 1.94



AgPRh: relaxed, PBE.

Structure (CIF):
```
data_AgPRh
_chemical_formula_sum 'Ag1 P1 Rh1'
_symmetry_space_group_name_H-M 'P -6 m 2'
_symmetry_Int_Tables_number 187
_symmetry_space_group_name_Hall 'P -6 2'
_cell_length_a 3.9455
_cell_length_b 3.9455
_cell_length_c 3.5738
_cell_angle_alpha 90.00
_cell_angle_beta 90.00
_cell_angle_gamma 120.00
loop_
_atom_site_label
_atom_site_type_symbol
_atom_site_fract_x
_atom_site_fract_y
_atom_site_fract_z
_atom_site_occupancy
Ag1 Ag 0.0000 0.0000 0.0000 1
P1 P 0.6667 0.3333 0.5000 1
Rh1 Rh 0.3333 0.6667 0.5000 1
```

Properties
Energy above the most stable polymorph in this dataset in eV per formula unit: 0.05
Energy of formation from the pure elements in meV/atom: -164
N(E_F) in states/eV/f.u.: 1.11



AgP4Rh: relaxed, PBE.

Structure (CIF):
```
data_AgP4Rh
_chemical_formula_sum 'Ag4 P16 Rh4'
_symmetry_space_group_name_H-M 'F -4 3 m'
_symmetry_Int_Tables_number 216
_symmetry_space_group_name_Hall 'F -4 2 3'
_cell_length_a 7.224
_cell_length_b 7.224
_cell_length_c 7.224
_cell_angle_alpha 90.00
_cell_angle_beta 90.00
_cell_angle_gamma 90.00
loop_
_atom_site_label
_atom_site_type_symbol
_atom_site_fract_x
_atom_site_fract_y
_atom_site_fract_z
_atom_site_occupancy
Ag1 Ag 0.000 0.000 0.000 1
P1 P 0.134 0.134 0.634 1
Rh1 Rh 0.250 0.250 0.250 1
```

Properties
Energy of formation from the pure elements in meV/atom: 640
N(E_F) in states/eV/f.u.: 4.23



AgPRh: relaxed, PBE.

Structure (CIF):
```
data_AgPRh
_chemical_formula_sum 'Ag4 P4 Rh4'
_symmetry_space_group_name_H-M 'F -4 3 m'
_symmetry_Int_Tables_number 216
_symmetry_space_group_name_Hall 'F -4 2 3'
_cell_length_a 5.793
_cell_length_b 5.793
_cell_length_c 5.793
_cell_angle_alpha 90.00
_cell_angle_beta 90.00
_cell_angle_gamma 90.00
loop_
_atom_site_label
_atom_site_type_symbol
_atom_site_fract_x
_atom_site_fract_y
_atom_site_fract_z
_atom_site_occupancy
Ag1 Ag 0.000 0.000 0.000 1
P1 P 0.250 0.250 0.250 1
Rh1 Rh 0.000 0.000 0.500 1
```

Properties
Energy above the most stable polymorph in this dataset in eV per formula unit: 0.49
Energy of formation from the pure elements in meV/atom: -18
N(E_F) in states/eV/f.u.: 4.04



AgP2Rh: relaxed, PBE.

Structure (CIF):
```
data_AgP2Rh
_chemical_formula_sum 'Ag4 P8 Rh4'
_symmetry_space_group_name_H-M 'I -4 2 d'
_symmetry_Int_Tables_number 122
_symmetry_space_group_name_Hall 'I -4 2bw'
_cell_length_a 5.540
_cell_length_b 5.540
_cell_length_c 10.646
_cell_angle_alpha 90.00
_cell_angle_beta 90.00
_cell_angle_gamma 90.00
loop_
_atom_site_label
_atom_site_type_symbol
_atom_site_fract_x
_atom_site_fract_y
_atom_site_fract_z
_atom_site_occupancy
Ag1 Ag 0.000 0.000 0.000 1
P1 P 0.211 0.250 0.625 1
Rh1 Rh 0.000 0.000 0.500 1
```

Properties
Energy above the most stable polymorph in this dataset in eV per formula unit: 0.33
Energy of formation from the pure elements in meV/atom: 35
N(E_F) in states/eV/f.u.: 2.19



AgP2RhS: relaxed, PBE.

Structure (CIF):
```
data_AgP2RhS
_chemical_formula_sum 'Ag1 P2 Rh1 S1'
_symmetry_space_group_name_H-M 'P 4/m m m'
_symmetry_Int_Tables_number 123
_symmetry_space_group_name_Hall '-P 4 2'
_cell_length_a 4.454
_cell_length_b 4.454
_cell_length_c 5.194
_cell_angle_alpha 90.00
_cell_angle_beta 90.00
_cell_angle_gamma 90.00
loop_
_atom_site_label
_atom_site_type_symbol
_atom_site_fract_x
_atom_site_fract_y
_atom_site_fract_z
_atom_site_occupancy
Ag1 Ag 0.000 0.000 0.000 1
P1 P 0.000 0.500 0.500 1
Rh1 Rh 0.500 0.500 0.500 1
S1 S 0.500 0.500 0.000 1
```

Properties
Energy above the most stable polymorph in this dataset in eV per formula unit: 0.00
N(E_F) in states/eV/f.u.: 3.64



AgP2RhS: relaxed, PBE.

Structure (CIF):
```
data_AgP2RhS
_chemical_formula_sum 'Ag1 P2 Rh1 S1'
_symmetry_space_group_name_H-M 'P 4/m m m'
_symmetry_Int_Tables_number 123
_symmetry_space_group_name_Hall '-P 4 2'
_cell_length_a 4.688
_cell_length_b 4.688
_cell_length_c 4.760
_cell_angle_alpha 90.00
_cell_angle_beta 90.00
_cell_angle_gamma 90.00
loop_
_atom_site_label
_atom_site_type_symbol
_atom_site_fract_x
_atom_site_fract_y
_atom_site_fract_z
_atom_site_occupancy
Ag1 Ag 0.000 0.000 0.000 1
P1 P 0.000 0.500 0.000 1
Rh1 Rh 0.500 0.500 0.500 1
S1 S 0.000 0.000 0.500 1
```

Properties
Energy above the most stable polymorph in this dataset in eV per formula unit: 4.18
N(E_F) in states/eV/f.u.: 4.39



ScAgP2Rh: relaxed, PBE.

Structure (CIF):
```
data_ScAgP2Rh
_chemical_formula_sum 'Sc1 Ag1 P2 Rh1'
_symmetry_space_group_name_H-M 'P 4/m m m'
_symmetry_Int_Tables_number 123
_symmetry_space_group_name_Hall '-P 4 2'
_cell_length_a 4.557
_cell_length_b 4.557
_cell_length_c 4.944
_cell_angle_alpha 90.00
_cell_angle_beta 90.00
_cell_angle_gamma 90.00
loop_
_atom_site_label
_atom_site_type_symbol
_atom_site_fract_x
_atom_site_fract_y
_atom_site_fract_z
_atom_site_occupancy
Sc1 Sc 0.000 0.000 0.000 1
Ag1 Ag 0.500 0.500 0.000 1
P1 P 0.000 0.500 0.500 1
Rh1 Rh 0.000 0.000 0.500 1
```

Properties
Energy of formation from the pure elements in meV/atom: 178
N(E_F) in states/eV/f.u.: 4.33



Sm2AgP3Rh12: relaxed, PBE.

Structure (CIF):
```
data_Sm2AgP3Rh12
_chemical_formula_sum 'Sm6 Ag3 P9 Rh36'
_symmetry_space_group_name_H-M 'R -3 m'
_symmetry_Int_Tables_number 166
_symmetry_space_group_name_Hall '-R 3 2"'
_cell_length_a 8.9385
_cell_length_b 8.9385
_cell_length_c 12.9093
_cell_angle_alpha 90.00
_cell_angle_beta 90.00
_cell_angle_gamma 120.00
loop_
_atom_site_label
_atom_site_type_symbol
_atom_site_fract_x
_atom_site_fract_y
_atom_site_fract_z
_atom_site_occupancy
Sm1 Sm 0.0000 0.0000 0.1250 1
Ag1 Ag 0.0000 0.0000 0.5000 1
P1 P 0.0000 0.5000 0.0000 1
Rh1 Rh 0.0061 0.5031 0.8287 1
Rh2 Rh 0.0289 0.5145 0.3804 1
```

Properties
Energy of formation from the pure elements in meV/atom: -171
N(E_F) in states/eV/f.u.: 18.09



Sr2AgPRh: relaxed, PBE.

Structure (CIF):
```
data_Sr2AgPRh
_chemical_formula_sum 'Sr2 Ag1 P1 Rh1'
_symmetry_space_group_name_H-M 'P 4/m m m'
_symmetry_Int_Tables_number 123
_symmetry_space_group_name_Hall '-P 4 2'
_cell_length_a 5.708
_cell_length_b 5.708
_cell_length_c 4.888
_cell_angle_alpha 90.00
_cell_angle_beta 90.00
_cell_angle_gamma 90.00
loop_
_atom_site_label
_atom_site_type_symbol
_atom_site_fract_x
_atom_site_fract_y
_atom_site_fract_z
_atom_site_occupancy
Sr1 Sr 0.000 0.500 0.000 1
Ag1 Ag 0.000 0.000 0.000 1
P1 P 0.500 0.500 0.500 1
Rh1 Rh 0.000 0.000 0.500 1
```

Properties
Energy of formation from the pure elements in meV/atom: 377
N(E_F) in states/eV/f.u.: 3.92



SrAgPRh: relaxed, PBE.

Structure (CIF):
```
data_SrAgPRh
_chemical_formula_sum 'Sr2 Ag2 P2 Rh2'
_symmetry_space_group_name_H-M 'P 4/n m m'
_symmetry_Int_Tables_number 129
_cell_length_a 3.940
_cell_length_b 3.940
_cell_length_c 11.257
_cell_angle_alpha 90.00
_cell_angle_beta 90.00
_cell_angle_gamma 90.00
loop_
_symmetry_equiv_pos_as_xyz
'x,y,z'
'-x,-y,-z'
'-y+1/2,x,z'
'y+1/2,-x,-z'
'-x+1/2,-y+1/2,z'
'x+1/2,y+1/2,-z'
'y,-x+1/2,z'
'-y,x+1/2,-z'
'x+1/2,-y,-z'
'-x+1/2,y,z'
'-y,-x,-z'
'y,x,z'
'-x,y+1/2,-z'
'x,-y+1/2,z'
'y+1/2,x+1/2,-z'
'-y+1/2,-x+1/2,z'
loop_
_atom_site_label
_atom_site_type_symbol
_atom_site_fract_x
_atom_site_fract_y
_atom_site_fract_z
_atom_site_occupancy
Sr1 Sr 0.250 0.250 0.250 1
Ag1 Ag 0.250 0.750 0.000 1
P1 P 0.250 0.250 0.620 1
Rh1 Rh 0.250 0.750 0.500 1
```

Properties
Energy of formation from the pure elements in meV/atom: -672
N(E_F) in states/eV/f.u.: 1.47